DFT (SCAN) results for a PBEsol-optimized structure of InIrN3.

Values from the calculation:
- ΔE_f (raw) (eV per atom) = 1.20
- V (Å³/f.u.) = 59.35
- total magnetic moment (μB per formula unit) = 1.26

```
5
Lattice="3.901 0.000 0.000 0.000 3.901 0.000 0.000 0.000 3.901" Properties=species:S:1:pos:R:3 pbc="T T T"
N 0.000 1.950 0.000
N 0.000 0.000 1.950
N 1.950 0.000 0.000
Ir 0.000 0.000 0.000
In 1.950 1.950 1.950
```

***

DFT (SCAN) results for a PBEsol-optimized structure of In2NiIrN.

Values from the calculation:
- ΔE_f (raw) (eV per atom) = 1.15
- V (Å³/f.u.) = 116.75
- total magnetic moment (μB per formula unit) = 4.20

```
5
Lattice="-1.765 3.993 -1.257 -4.475 -2.236 -0.821 -1.341 0.919 4.802" Properties=species:S:1:pos:R:3 pbc="T T T"
Ni -0.883 1.997 -0.629
N -3.790 1.338 1.362
Ir 0.000 0.000 0.000
In -0.670 0.459 2.401
In -2.237 -1.118 -0.411
```

***

DFT (SCAN) results for a PBEsol-optimized structure of NaIn3Ir.

Values from the calculation:
- ΔE_f (eV/atom) = -0.218
- V (Å³/f.u.) = 135.05
- total magnetic moment (μB per formula unit) = 0.00

```
5
Lattice="-2.411 -3.614 -2.729 2.865 1.177 -4.090 3.507 -3.446 1.465" Properties=species:S:1:pos:R:3 pbc="T T T"
Na 1.980 -2.942 -2.677
Ir 0.000 0.000 0.000
In 1.432 0.588 -2.045
In 1.754 -1.723 0.733
In -1.206 -1.807 -1.364
```

***

DFT (SCAN) results for a PBEsol-optimized structure of NaIn2Ir2.

Values from the calculation:
- ΔE_f (eV/atom) = -0.129
- V (Å³/f.u.) = 91.29
- total magnetic moment (μB per formula unit) = 0.00

```
10
Lattice="-1.585 -0.669 -2.458 1.146 -7.602 1.329 -6.525 -0.236 4.271" Properties=species:S:1:pos:R:3 pbc="T T T"
Na 0.000 0.000 0.000
Na -2.689 -3.919 2.800
Ir -5.234 -2.991 4.188
Ir -3.141 -6.737 3.858
Ir -0.145 -4.847 1.412
Ir -2.238 -1.102 1.743
In -4.930 -1.728 1.818
In -5.496 -5.570 3.229
In -2.034 -6.779 1.325
In -1.467 -2.937 -0.086
```